# 1
## Tb2PmHg2 (PBE-GGA)

Data for crystalline Tb2PmHg2 at its relaxed geometry.

Values from the calculation:
Size of the total moment = 0.000 μB per formula unit
Space group = P2_1/m (11)
Energy relative to the elements = -8.86 kcal/mol of atoms

abc: 3.764 5.388 13.881
angles: 90.00 97.79 90.00
Fractional positions:
Hg (0.454, 0.750, 0.908)
Hg (0.355, 0.250, 0.712)
Pm (0.852, 0.750, 0.708)
Tb (0.952, 0.250, 0.905)
Hg (0.546, 0.250, 0.092)
Tb (0.048, 0.750, 0.095)
Pm (0.148, 0.250, 0.292)
Hg (0.645, 0.750, 0.288)
Tb (0.236, 0.750, 0.472)
Tb (0.764, 0.250, 0.528)

---

# 2
## Pm3Bi3H (PBE-GGA)

Data for crystalline Pm3Bi3H at its relaxed geometry.

Values from the calculation:
VASP energy = -68.12 eV per cell
Size of the total moment = 0.000 μB per formula unit
Space group = C2/m (12)

abc: 8.250 8.250 6.564
angles: 91.67 91.67 112.21
Fractional positions:
Bi (0.414, 0.414, 0.733)
Pm (0.911, 0.911, 0.223)
Pm (0.164, 0.442, 0.259)
Pm (0.442, 0.164, 0.259)
Bi (0.207, 0.793, 0.000)
Bi (0.586, 0.586, 0.267)
Pm (0.836, 0.558, 0.741)
Bi (0.793, 0.207, 0.000)
Bi (0.191, 0.809, 0.500)
H (0.168, 0.168, 0.152)
Bi (0.809, 0.191, 0.500)
Pm (0.558, 0.836, 0.741)
H (0.832, 0.832, 0.848)
Pm (0.089, 0.089, 0.777)

---

# 3
## Th2MgAl2Ir5 (PBE-GGA)

Data for crystalline Th2MgAl2Ir5 at its relaxed geometry.

Values from the calculation:
Size of the total moment = 0.000 μB per formula unit
Space group = P4/mbm (127)
Energy relative to the elements = -16.23 kcal/mol of atoms

abc: 3.683 9.944 9.944
angles: 90.00 90.00 90.00
Fractional positions:
Ir (0.500, 0.287, 0.569)
Ir (0.500, 0.500, 0.000)
Mg (0.000, 0.500, 0.500)
Ir (0.500, 0.569, 0.713)
Mg (0.000, 0.000, 0.000)
Th (0.000, 0.679, 0.179)
Al (0.000, 0.381, 0.119)
Al (0.000, 0.119, 0.619)
Th (0.000, 0.321, 0.821)
Ir (0.500, 0.000, 0.500)
Th (0.000, 0.179, 0.321)
Ir (0.500, 0.069, 0.787)
Ir (0.500, 0.931, 0.213)
Ir (0.500, 0.431, 0.287)
Ir (0.500, 0.213, 0.069)
Al (0.000, 0.881, 0.381)
Ir (0.500, 0.787, 0.931)
Ir (0.500, 0.713, 0.431)
Al (0.000, 0.619, 0.881)
Th (0.000, 0.821, 0.679)

---

# 4
## NaNp2TlO8 (PBE-GGA)

Data for crystalline NaNp2TlO8 at its relaxed geometry.

Values from the calculation:
Size of the total moment = 2.010 μB per formula unit
Formation energy from raw total energies = -2350 kJ/mol of formula units
Space group = I-4 (82)

abc: 5.375 5.375 6.437
angles: 114.68 114.68 90.00
Last column: magnetic moment on the atom in μB.
Fractional positions:
O (0.372, 0.402, 0.246)  -0.09
O (0.370, 0.846, 0.249)  -0.09
Np (0.250, 0.750, 0.500)  1.32
O (0.874, 0.844, 0.246)  -0.09
O (0.598, 0.126, 0.754)  -0.09
O (0.154, 0.121, 0.751)  -0.09
O (0.879, 0.403, 0.249)  -0.09
Na (0.750, 0.250, 0.500)  0.00
O (0.156, 0.628, 0.754)  -0.09
Tl (0.000, 0.000, 0.000)  0.09
O (0.597, 0.630, 0.751)  -0.09
Np (0.500, 0.500, 0.000)  1.34

---

Q: What is the size of the total moment in the fourth record?
A: 2.010 μB per formula unit